# LiMnFeF6 (GGA+U, optimized geometry)
# V: 12.13 Å³/atom
# energy above the most stable polymorph in this dataset: 0.00 eV per formula unit
# total magnetization: 30.00 μB/cell
# DOS at the Fermi energy: 0.000 states/eV/atom
data_LiMnFeF6
_space_group_name_H-M_alt 'P 3 2 1'
_space_group_IT_number 150
_cell_length_a 8.8609
_cell_length_b 8.8609
_cell_length_c 4.8170
_cell_angle_alpha 90.00
_cell_angle_beta 90.00
_cell_angle_gamma 120.00
loop_
_space_group_symop_operation_xyz
'x,y,z'
'-y,x-y,z'
'-x+y,-x,z'
'y,x,-z'
'x-y,-y,-z'
'-x,-x+y,-z'
loop_
_atom_site_label
_atom_site_type_symbol
_atom_site_fract_x
_atom_site_fract_y
_atom_site_fract_z
Li1 Li 0.0000 0.7039 0.0000
Mn1 Mn 0.0000 0.3618 0.5000
Fe1 Fe 0.0000 0.0000 0.5000
Fe2 Fe 0.3333 0.6667 0.0024
F1 F 0.0992 0.2129 0.2752
F2 F 0.1227 0.5802 0.2298
F3 F 0.2217 0.4538 0.7784